Density functional theory data (PBE) for crystalline Ce2PuMg at its relaxed geometry.

a b c (Å): 3.174 3.174 10.113
angles (deg): 90.00 90.00 90.00
Fractional positions:
Ce 0.000 0.000 0.236
Ce 0.000 0.000 0.764
Pu 0.500 0.500 0.000
Mg 0.500 0.500 0.500

## Properties
E_form, eV per atom: 0.073
Energy above the most stable polymorph in this dataset, meV/atom: 0

Density functional theory data (PBE) for crystalline Ta3ZnI at its relaxed geometry.

a b c (Å): 4.801 4.801 4.801
angles (deg): 90.00 90.00 90.00
Fractional positions:
Ta 0.000 0.000 0.500
Ta 0.000 0.500 0.000
Ta 0.500 0.000 0.000
Zn 0.000 0.000 0.000
I 0.500 0.500 0.500

## Properties
Energy above the most stable polymorph in this dataset, meV/atom: 0
Formation energy without anion corrections, eV per formula unit: 8.11

Density functional theory data (PBE) for crystalline Ca2TeW at its relaxed geometry.

a b c (Å): 6.257 6.257 6.257
angles (deg): 138.09 138.09 60.77
Fractional positions:
Ca 0.000 0.000 0.000
Ca 0.750 0.250 0.500
Te 0.250 0.750 0.500
W 0.500 0.500 0.000

## Properties
Energy above the most stable polymorph in this dataset, meV/atom: 232
Formation energy without anion corrections, eV per formula unit: 1.74

Density functional theory data (PBE) for crystalline K4BeIn at its relaxed geometry.

a b c (Å): 7.268 7.268 7.268
angles (deg): 60.00 60.00 60.00
Fractional positions:
K 0.125 0.125 0.125
K 0.125 0.125 0.625
K 0.125 0.625 0.125
K 0.625 0.125 0.125
Be 0.750 0.750 0.750
In 0.500 0.500 0.500

## Properties
E_form, eV per atom: 0.710

Density functional theory data (PBE) for crystalline Ta3Nb4W2 at its relaxed geometry.

a b c (Å): 7.153 7.153 7.362
angles (deg): 107.78 107.78 26.40
Fractional positions:
Ta 0.000 0.000 0.000
Ta 0.112 0.112 0.676
Ta 0.888 0.888 0.324
Nb 0.220 0.220 0.328
Nb 0.444 0.444 0.667
Nb 0.556 0.556 0.333
Nb 0.780 0.780 0.672
W 0.331 0.331 0.999
W 0.669 0.669 0.001

## Properties
E_form, eV per atom: -0.045
Energy above the most stable polymorph in this dataset, meV/atom: 0

Density functional theory data (PBE) for crystalline CuSbIN2 at its relaxed geometry.

a b c (Å): 4.155 4.155 5.066
angles (deg): 90.00 90.00 90.00
Fractional positions:
Cu 0.000 0.000 0.000
Sb 0.500 0.500 0.500
I 0.000 0.000 0.500
N 0.000 0.500 0.000
N 0.500 0.000 0.000

## Properties
Energy above the most stable polymorph in this dataset, meV/atom: 542
Formation energy without anion corrections, eV per formula unit: 8.96

Number 1: DOS at the Fermi energy 2.82 states/eV per atom. Number 2: DOS at the Fermi energy 2.28 states/eV per atom. Number 3: DOS at the Fermi energy 0.40 states/eV per atom. Number 4: DOS at the Fermi energy 1.00 states/eV per atom. Number 5: DOS at the Fermi energy 1.16 states/eV per atom. Number 6: DOS at the Fermi energy 1.09 states/eV per atom.